This record from the Alexandria database describes crystalline Ce4OsAu at its relaxed geometry. The functional is PBE.

a = 5.927 Å, b = 8.575 Å, c = 7.480 Å
α = 115.82°, β = 101.36°, γ = 110.35°
Sites, in units of the cell vectors:
Ce (0.036, 0.190, 0.810)
Ce (0.762, 0.685, 0.616)
Ce (0.275, 0.621, 0.810)
Ce (0.354, 0.931, 0.616)
Ce (0.646, 0.069, 0.384)
Ce (0.725, 0.379, 0.190)
Ce (0.238, 0.315, 0.384)
Ce (0.964, 0.810, 0.190)
Os (0.252, 0.002, 0.005)
Os (0.748, 0.998, 0.995)
Au (0.359, 0.609, 0.218)
Au (0.641, 0.391, 0.782)

Summary:
**Energy of formation**: -316 meV/atom
**Mass density**: 10.8 g/cm3
**SG**: C2/c
**Relative energy among the computed polymorphs**: 0.0 meV/atom